# 1
# TiBeIn2Cu PBE relaxed
data_TiBeIn2Cu
_cell_length_a 4.8741
_cell_length_b 4.8741
_cell_length_c 4.1287
_cell_angle_alpha 90.00
_cell_angle_beta 90.00
_cell_angle_gamma 90.00
_symmetry_space_group_name_H-M 'P 4/m m m'
_symmetry_Int_Tables_number 123
_symmetry_space_group_name_Hall '-P 4 2'
loop_
_atom_site_label
_atom_site_fract_x
_atom_site_fract_y
_atom_site_fract_z
Ti1 0.0000 0.0000 0.0000
Be1 0.5000 0.5000 0.0000
In1 0.0000 0.5000 0.5000
Cu1 0.5000 0.5000 0.5000
# - Magnetic moment: 0.00 Bohr magnetons per cell
# - ΔH_f (0 K): 583.9 meV/atom
# - DOS(E_F): 2.8 states/eV/f.u.
# - Final energy: -3.655 eV/atom


# 2
# Ti2BeInCu PBE relaxed
data_Ti2BeInCu
_cell_length_a 4.4320
_cell_length_b 4.4320
_cell_length_c 4.1358
_cell_angle_alpha 90.00
_cell_angle_beta 90.00
_cell_angle_gamma 90.00
_symmetry_space_group_name_H-M 'P 4/m m m'
_symmetry_Int_Tables_number 123
_symmetry_space_group_name_Hall '-P 4 2'
loop_
_atom_site_label
_atom_site_fract_x
_atom_site_fract_y
_atom_site_fract_z
Ti1 0.0000 0.5000 0.0000
Be1 0.0000 0.0000 0.0000
In1 0.5000 0.5000 0.5000
Cu1 0.0000 0.0000 0.5000
# - Magnetic moment: 0.00 Bohr magnetons per cell
# - ΔH_f (0 K): 191.5 meV/atom
# - DOS(E_F): 5.6 states/eV/f.u.
# - Final energy: -5.079 eV/atom


# 3
# Be2TlInCu PBE relaxed
data_Be2TlInCu
_cell_length_a 4.4765
_cell_length_b 4.4765
_cell_length_c 5.9876
_cell_angle_alpha 90.00
_cell_angle_beta 90.00
_cell_angle_gamma 90.00
_symmetry_space_group_name_H-M 'P 4/m m m'
_symmetry_Int_Tables_number 123
_symmetry_space_group_name_Hall '-P 4 2'
loop_
_atom_site_label
_atom_site_fract_x
_atom_site_fract_y
_atom_site_fract_z
Be1 0.0000 0.5000 0.0000
Tl1 0.0000 0.0000 0.0000
In1 0.0000 0.0000 0.5000
Cu1 0.5000 0.5000 0.5000
# - Magnetic moment: 0.00 Bohr magnetons per cell
# - ΔH_f (0 K): 1127.7 meV/atom
# - DOS(E_F): 1.2 states/eV/f.u.
# - Final energy: -2.203 eV/atom


# 4
# Y2Be3InCu12 PBE relaxed
data_Y2Be3InCu12
_cell_length_a 7.4712
_cell_length_b 7.4712
_cell_length_c 18.3031
_cell_angle_alpha 90.00
_cell_angle_beta 90.00
_cell_angle_gamma 120.00
_symmetry_space_group_name_H-M 'R -3 m'
_symmetry_Int_Tables_number 166
_symmetry_space_group_name_Hall '-R 3 2"'
loop_
_atom_site_label
_atom_site_fract_x
_atom_site_fract_y
_atom_site_fract_z
Y1 0.0000 0.0000 0.0947
Be1 0.0000 0.5000 0.0000
In1 0.0000 0.0000 0.5000
Cu1 0.0385 0.5193 0.3513
Cu2 0.0603 0.5302 0.8828
# - Magnetic moment: 0.00 Bohr magnetons per cell
# - ΔH_f (0 K): 308.2 meV/atom
# - DOS(E_F): 7.1 states/eV/f.u.
# - Final energy: -3.914 eV/atom


# 5
# Zr2BeInCu PBE relaxed
data_Zr2BeInCu
_cell_length_a 4.8880
_cell_length_b 4.8880
_cell_length_c 4.7189
_cell_angle_alpha 90.00
_cell_angle_beta 90.00
_cell_angle_gamma 90.00
_symmetry_space_group_name_H-M 'P 4/m m m'
_symmetry_Int_Tables_number 123
_symmetry_space_group_name_Hall '-P 4 2'
loop_
_atom_site_label
_atom_site_fract_x
_atom_site_fract_y
_atom_site_fract_z
Zr1 0.0000 0.5000 0.0000
Be1 0.0000 0.0000 0.5000
In1 0.5000 0.5000 0.5000
Cu1 0.5000 0.5000 0.0000
# - Magnetic moment: 0.00 Bohr magnetons per cell
# - ΔH_f (0 K): 702.9 meV/atom
# - DOS(E_F): 4.9 states/eV/f.u.
# - Final energy: -4.829 eV/atom


# 6
# BeCuIr2 PBE relaxed
data_BeCuIr2
_cell_length_a 2.7045
_cell_length_b 2.7045
_cell_length_c 24.0646
_cell_angle_alpha 90.00
_cell_angle_beta 90.00
_cell_angle_gamma 120.00
_symmetry_space_group_name_H-M 'R -3 m'
_symmetry_Int_Tables_number 166
_symmetry_space_group_name_Hall '-R 3 2"'
loop_
_atom_site_label
_atom_site_fract_x
_atom_site_fract_y
_atom_site_fract_z
Be1 0.0000 0.0000 0.0000
Cu1 0.0000 0.0000 0.5000
Ir1 0.0000 0.0000 0.2576
# - Magnetic moment: 0.00 Bohr magnetons per cell
# - ΔH_f (0 K): -109.5 meV/atom
# - DOS(E_F): 5.3 states/eV/f.u.
# - Final energy: -6.496 eV/atom


# 7
# Be2Cu2Ir PBE relaxed
data_Be2Cu2Ir
_cell_length_a 3.8562
_cell_length_b 3.8562
_cell_length_c 7.5196
_cell_angle_alpha 90.00
_cell_angle_beta 90.00
_cell_angle_gamma 90.00
_symmetry_space_group_name_H-M 'I 4/m m m'
_symmetry_Int_Tables_number 139
_symmetry_space_group_name_Hall '-I 4 2'
loop_
_atom_site_label
_atom_site_fract_x
_atom_site_fract_y
_atom_site_fract_z
Be1 0.0000 0.5000 0.2500
Cu1 0.0000 0.0000 0.1435
Ir1 0.0000 0.0000 0.5000
# - Magnetic moment: 0.00 Bohr magnetons per cell
# - ΔH_f (0 K): 169.9 meV/atom
# - DOS(E_F): 1.1 states/eV/f.u.
# - Final energy: -4.731 eV/atom
# - Excess energy over the best structure of this formula in the dataset: 134 kJ/mol of formula units


# 8
# BeCuIr2 PBE relaxed
data_BeCuIr2
_cell_length_a 3.6859
_cell_length_b 3.6859
_cell_length_c 7.4815
_cell_angle_alpha 90.00
_cell_angle_beta 90.00
_cell_angle_gamma 90.00
_symmetry_space_group_name_H-M 'I -4 m 2'
_symmetry_Int_Tables_number 119
_symmetry_space_group_name_Hall 'I -4 -2'
loop_
_atom_site_label
_atom_site_fract_x
_atom_site_fract_y
_atom_site_fract_z
Be1 0.0000 0.0000 0.0000
Cu1 0.0000 0.5000 0.7500
Ir1 0.0000 0.0000 0.5000
Ir2 0.0000 0.5000 0.2500
# - Magnetic moment: 0.00 Bohr magnetons per cell
# - ΔH_f (0 K): 27.0 meV/atom
# - DOS(E_F): 3.9 states/eV/f.u.
# - Final energy: -6.359 eV/atom


# 9
# Be2CuIr PBE relaxed
data_Be2CuIr
_cell_length_a 2.8572
_cell_length_b 2.8572
_cell_length_c 5.2634
_cell_angle_alpha 90.00
_cell_angle_beta 90.00
_cell_angle_gamma 90.00
_symmetry_space_group_name_H-M 'P 4 m m'
_symmetry_Int_Tables_number 99
loop_
_symmetry_equiv_pos_as_xyz
'x,y,z'
'-y,x,z'
'-x,-y,z'
'y,-x,z'
'-x,y,z'
'y,x,z'
'x,-y,z'
'-y,-x,z'
loop_
_atom_site_label
_atom_site_fract_x
_atom_site_fract_y
_atom_site_fract_z
Be1 0.0000 0.0000 0.0000
Be2 0.5000 0.5000 0.2330
Cu1 0.0000 0.0000 0.4561
Ir1 0.5000 0.5000 0.7866
# - Magnetic moment: 0.00 Bohr magnetons per cell
# - ΔH_f (0 K): -212.7 meV/atom
# - DOS(E_F): 1.4 states/eV/f.u.
# - Final energy: -5.315 eV/atom
# - Excess energy over the best structure of this formula in the dataset: 86 kJ/mol of formula units


# 10
# BeCuIr2 PBE relaxed
data_BeCuIr2
_cell_length_a 2.7205
_cell_length_b 3.7321
_cell_length_c 5.1089
_cell_angle_alpha 90.00
_cell_angle_beta 102.35
_cell_angle_gamma 90.00
_symmetry_space_group_name_H-M 'P 1 2/m 1'
_symmetry_Int_Tables_number 10
loop_
_symmetry_equiv_pos_as_xyz
'x,y,z'
'-x,-y,-z'
'-x,y,-z'
'x,-y,z'
loop_
_atom_site_label
_atom_site_fract_x
_atom_site_fract_y
_atom_site_fract_z
Be1 0.0000 0.0000 0.0000
Cu1 0.0000 0.0000 0.5000
Ir1 0.3620 0.5000 0.2298
# - Magnetic moment: 0.00 Bohr magnetons per cell
# - ΔH_f (0 K): -95.3 meV/atom
# - DOS(E_F): 3.5 states/eV/f.u.
# - Final energy: -6.481 eV/atom


# 11
# Be2CuIr PBE relaxed
data_Be2CuIr
_cell_length_a 2.6324
_cell_length_b 2.6324
_cell_length_c 23.2507
_cell_angle_alpha 90.00
_cell_angle_beta 90.00
_cell_angle_gamma 120.00
_symmetry_space_group_name_H-M 'R 3 m'
_symmetry_Int_Tables_number 160
_symmetry_space_group_name_Hall 'R 3 -2"'
loop_
_atom_site_label
_atom_site_fract_x
_atom_site_fract_y
_atom_site_fract_z
Be1 0.0000 0.0000 0.0000
Be2 0.0000 0.0000 0.2529
Cu1 0.0000 0.0000 0.5088
Ir1 0.0000 0.0000 0.7444
# - Magnetic moment: 0.00 Bohr magnetons per cell
# - ΔH_f (0 K): 93.8 meV/atom
# - DOS(E_F): 2.4 states/eV/f.u.
# - Final energy: -5.009 eV/atom
# - Excess energy over the best structure of this formula in the dataset: 204 kJ/mol of formula units


# 12
# Be2CuIr PBE relaxed
data_Be2CuIr
_cell_length_a 5.6233
_cell_length_b 5.6233
_cell_length_c 5.6233
_cell_angle_alpha 90.00
_cell_angle_beta 90.00
_cell_angle_gamma 90.00
_symmetry_space_group_name_H-M 'F -4 3 m'
_symmetry_Int_Tables_number 216
_symmetry_space_group_name_Hall 'F -4 2 3'
loop_
_atom_site_label
_atom_site_fract_x
_atom_site_fract_y
_atom_site_fract_z
Be1 0.0000 0.0000 0.0000
Be2 0.2500 0.2500 0.2500
Cu1 0.0000 0.0000 0.5000
Ir1 0.2500 0.2500 0.7500
# - Magnetic moment: 0.00 Bohr magnetons per cell
# - ΔH_f (0 K): -75.5 meV/atom
# - DOS(E_F): 1.9 states/eV/f.u.
# - Final energy: -5.178 eV/atom
# - Excess energy over the best structure of this formula in the dataset: 139 kJ/mol of formula units